# 1
VASP calculation (PBE-GGA) on crystalline CuRh at its relaxed geometry.

```
CuRh
1.0
7.962 0.000 0.000
0.000 7.962 0.000
0.000 0.000 3.559
Cu Rh
8 8
direct
0.163 0.500 0.000 Cu
0.837 0.500 0.000 Cu
0.500 0.837 0.000 Cu
0.500 0.163 0.000 Cu
0.663 0.000 0.500 Cu
0.337 0.000 0.500 Cu
0.000 0.337 0.500 Cu
0.000 0.663 0.500 Cu
0.837 0.837 0.000 Rh
0.837 0.163 0.000 Rh
0.163 0.837 0.000 Rh
0.163 0.163 0.000 Rh
0.337 0.337 0.500 Rh
0.337 0.663 0.500 Rh
0.663 0.337 0.500 Rh
0.663 0.663 0.500 Rh
```

Output
The value obtained for the volume is 225.6 Å³ per cell. For the density of states at the Fermi level, the calculation gives 1.28 states/eV/atom. Its calculated formation energy is 217.1 meV/atom.

# 2
VASP calculation (PBE-GGA) on crystalline CaTl2Zn at its relaxed geometry.

```
CaTl2Zn
1.0
4.776 0.000 0.000
0.000 3.739 -0.011
0.000 1.210 6.023
Tl Ca Zn
2 1 1
direct
0.000 0.086 0.023 Tl
0.000 0.414 0.477 Tl
0.500 0.750 0.750 Ca
0.500 0.250 0.250 Zn
```

Output
The value obtained for the volume is 107.6 Å³ per cell. For the density of states at the Fermi level, the calculation gives 0.37 states/eV/atom. Its calculated formation energy is -133.4 meV/atom.

# 3
VASP calculation (PBE-GGA) on crystalline CaGe2N at its relaxed geometry.

```
CaGe2N
1.0
6.973 0.000 0.000
0.000 6.973 0.000
3.486 3.486 3.025
Ge Ca N
4 2 2
direct
0.525 0.125 0.250 Ge
0.225 0.625 0.250 Ge
0.375 0.475 0.750 Ge
0.875 0.775 0.750 Ge
0.000 0.000 0.000 Ca
0.750 0.250 0.500 Ca
0.500 0.500 0.000 N
0.250 0.750 0.500 N
```

Output
The value obtained for the volume is 147.1 Å³ per cell. The value obtained for the uncorrected formation energy is 0.6 eV/f.u. For the density of states at the Fermi level, the calculation gives 0.43 states/eV/atom.

# 4
VASP calculation (PBE-GGA) on crystalline YPa2Re9 at its relaxed geometry.

```
YPa2Re9
1.0
-0.265 5.260 0.110
-1.836 2.455 4.283
7.792 2.928 4.900
Y Pa Re
1 2 9
direct
0.000 0.000 0.000 Y
0.853 0.853 0.440 Pa
0.147 0.147 0.560 Pa
0.665 0.665 0.006 Re
0.335 0.335 0.994 Re
0.500 0.500 0.500 Re
0.416 0.416 0.246 Re
0.922 0.416 0.246 Re
0.416 0.922 0.246 Re
0.584 0.584 0.754 Re
0.584 0.078 0.754 Re
0.078 0.584 0.754 Re
```

Output
The value obtained for the volume is 220.3 Å³ per cell. For the density of states at the Fermi level, the calculation gives 1.08 states/eV/atom. Its calculated formation energy is -55.8 meV/atom.

# 5
VASP calculation (PBE-GGA) on crystalline Tm2HgSe at its relaxed geometry.

```
Tm2HgSe
1.0
-1.731 -3.220 1.385
0.246 0.580 -3.858
7.733 -1.681 0.244
Tm Hg Se
2 1 1
direct
0.512 0.256 0.768 Tm
0.488 0.744 0.232 Tm
0.000 0.500 0.500 Hg
0.000 0.000 0.000 Se
```

Output
The value obtained for the volume is 100.5 Å³ per cell. The value obtained for the uncorrected formation energy is -4.2 eV/f.u. The excess energy over the best structure of this formula in the dataset comes out at 0 meV/atom. For the density of states at the Fermi level, the calculation gives 0.56 states/eV/atom.

# 6
VASP calculation (PBE-GGA) on crystalline TaBiO3 at its relaxed geometry.

```
TaBiO3
1.0
-1.774 -4.632 -2.068
4.934 0.469 -5.285
5.305 -4.178 4.808
Ta Bi O
4 4 12
direct
0.265 0.406 0.916 Ta
0.735 0.594 0.084 Ta
0.765 0.094 0.084 Ta
0.235 0.906 0.916 Ta
0.733 0.597 0.567 Bi
0.267 0.403 0.433 Bi
0.233 0.903 0.433 Bi
0.767 0.097 0.567 Bi
0.078 0.656 0.957 O
0.922 0.344 0.043 O
0.578 0.844 0.043 O
0.422 0.156 0.957 O
0.565 0.529 0.855 O
0.435 0.471 0.145 O
0.065 0.971 0.145 O
0.935 0.029 0.855 O
0.178 0.361 0.705 O
0.822 0.639 0.295 O
0.678 0.139 0.295 O
0.322 0.861 0.705 O
```

Output
The value obtained for the volume is 322.7 Å³ per cell. The value obtained for the uncorrected formation energy is -10.4 eV/f.u. For the density of states at the Fermi level, the calculation gives 0.06 states/eV/atom.

# 7
VASP calculation (PBE-GGA) on crystalline KTeAs2 at its relaxed geometry.

```
KTeAs2
1.0
3.844 0.000 0.000
0.000 4.474 0.000
0.000 0.000 6.741
As K Te
2 1 1
direct
0.000 0.000 0.926 As
0.000 0.000 0.574 As
0.500 0.500 0.250 K
0.500 0.500 0.750 Te
```

Output
The value obtained for the volume is 115.9 Å³ per cell. The value obtained for the uncorrected formation energy is 0.0 eV/f.u. For the density of states at the Fermi level, the calculation gives 0.44 states/eV/atom.

# 8
VASP calculation (PBE-GGA) on crystalline TlAsS3 at its relaxed geometry.

```
TlAsS3
1.0
8.776 0.054 0.044
-0.049 8.362 0.598
-0.049 2.134 8.107
Tl As S
4 4 12
direct
0.250 0.192 0.808 Tl
0.750 0.808 0.192 Tl
0.250 0.692 0.308 Tl
0.750 0.308 0.692 Tl
0.010 0.339 0.161 As
0.490 0.839 0.661 As
0.990 0.661 0.839 As
0.510 0.161 0.339 As
0.521 0.127 0.097 S
0.979 0.903 0.873 S
0.479 0.873 0.903 S
0.021 0.097 0.127 S
0.809 0.491 0.009 S
0.691 0.991 0.509 S
0.191 0.509 0.991 S
0.309 0.009 0.491 S
0.522 0.403 0.373 S
0.978 0.627 0.597 S
0.478 0.597 0.627 S
0.022 0.373 0.403 S
```

Output
The value obtained for the volume is 583.8 Å³ per cell. The value obtained for the uncorrected formation energy is -0.5 eV/f.u.

# 9
VASP calculation (PBE-GGA) on crystalline HfSc2IN at its relaxed geometry.

```
HfSc2IN
1.0
4.195 0.000 0.000
0.000 6.133 0.000
0.000 0.000 4.195
I Sc Hf N
1 2 1 1
direct
0.000 0.500 0.000 I
0.000 0.000 0.500 Sc
0.500 0.000 0.000 Sc
0.500 0.500 0.500 Hf
0.000 0.000 0.000 N
```

Output
The value obtained for the volume is 107.9 Å³ per cell. The value obtained for the uncorrected formation energy is -1.0 eV/f.u. For the density of states at the Fermi level, the calculation gives 0.93 states/eV/atom.

# 10
VASP calculation (PBE-GGA) on crystalline La2TiBiPd at its relaxed geometry.

```
La2TiBiPd
1.0
5.645 0.000 0.000
0.000 4.634 0.000
0.000 0.000 5.645
Ti Bi Pd La
1 1 1 2
direct
0.000 0.000 0.000 Ti
0.500 0.500 0.500 Bi
0.000 0.500 0.000 Pd
0.000 0.000 0.500 La
0.500 0.000 0.000 La
```

Output
The value obtained for the volume is 147.7 Å³ per cell. The excess energy over the best structure of this formula in the dataset comes out at 0 meV/atom. For the density of states at the Fermi level, the calculation gives 1.22 states/eV/atom. Its calculated formation energy is -5.3 meV/atom.

# 11
VASP calculation (PBE-GGA) on crystalline CaAcO at its relaxed geometry.

```
CaAcO
1.0
-2.604 2.636 -0.428
-4.055 -4.475 -2.894
-2.305 -1.360 5.648
O Ca Ac
2 2 2
direct
0.750 0.796 0.495 O
0.250 0.204 0.505 O
0.750 0.087 0.713 Ca
0.250 0.913 0.287 Ca
0.750 0.424 0.270 Ac
0.250 0.576 0.730 Ac
```

Output
The value obtained for the volume is 156.1 Å³ per cell. The value obtained for the uncorrected formation energy is -4.9 eV/f.u. The excess energy over the best structure of this formula in the dataset comes out at 0 meV/atom. For the density of states at the Fermi level, the calculation gives 0.78 states/eV/atom.

# 12
VASP calculation (PBE-GGA) on crystalline TaInTe2 at its relaxed geometry.

```
TaInTe2
1.0
-1.675 1.419 -2.671
1.187 -2.500 -2.072
-6.828 -4.714 1.777
In Ta Te
1 1 2
direct
0.500 0.500 0.250 In
0.500 0.500 0.750 Ta
0.000 0.000 0.945 Te
0.000 0.000 0.555 Te
```

Output
The value obtained for the volume is 101.4 Å³ per cell. The value obtained for the uncorrected formation energy is -0.4 eV/f.u. For the density of states at the Fermi level, the calculation gives 0.46 states/eV/atom.

# 13
VASP calculation (PBE-GGA) on crystalline Sr6Tl5Zn at its relaxed geometry.

```
Sr6Tl5Zn
1.0
-5.254 -0.993 2.095
-2.416 -2.689 -7.334
-0.252 -8.511 3.203
Sr Tl Zn
6 5 1
direct
0.836 0.752 0.328 Sr
0.836 0.248 0.328 Sr
0.500 0.245 0.000 Sr
0.500 0.755 0.000 Sr
0.164 0.752 0.672 Sr
0.164 0.248 0.672 Sr
0.667 0.500 0.665 Tl
0.331 0.000 0.338 Tl
0.000 0.500 0.000 Tl
0.669 0.000 0.662 Tl
0.333 0.500 0.335 Tl
0.000 0.000 0.000 Zn
```

Output
The value obtained for the volume is 405.4 Å³ per cell. For the density of states at the Fermi level, the calculation gives 0.78 states/eV/atom. Its calculated formation energy is -384.3 meV/atom.

# 14
VASP calculation (PBE-GGA) on crystalline CsRb2ZnF6 at its relaxed geometry.

```
CsRb2ZnF6
1.0
-5.160 0.158 3.982
2.121 -5.696 2.973
4.941 5.009 6.071
Cs Rb Zn F
2 4 2 12
direct
0.500 0.000 0.000 Cs
0.000 0.500 0.500 Cs
0.014 0.954 0.252 Rb
0.514 0.546 0.752 Rb
0.986 0.046 0.748 Rb
0.486 0.454 0.248 Rb
0.500 0.000 0.500 Zn
0.000 0.500 0.000 Zn
0.248 0.664 0.041 F
0.748 0.836 0.541 F
0.752 0.336 0.959 F
0.252 0.164 0.459 F
0.346 0.758 0.435 F
0.846 0.742 0.935 F
0.654 0.242 0.565 F
0.154 0.258 0.065 F
0.903 0.548 0.200 F
0.403 0.952 0.700 F
0.097 0.452 0.800 F
0.597 0.048 0.300 F
```

Output
The value obtained for the volume is 409.9 Å³ per cell. The value obtained for the uncorrected formation energy is -23.8 eV/f.u. For the density of states at the Fermi level, the calculation gives 0.55 states/eV/atom.

# 15
VASP calculation (PBE-GGA) on crystalline Ho3SnSe at its relaxed geometry.

```
Ho3SnSe
1.0
6.613 0.000 0.000
0.000 10.751 0.369
0.000 -4.551 7.843
Ho Sn Se
12 4 4
direct
0.592 0.330 0.281 Ho
0.084 0.532 0.331 Ho
0.908 0.830 0.781 Ho
0.685 0.828 0.422 Ho
0.416 0.032 0.831 Ho
0.185 0.672 0.078 Ho
0.815 0.328 0.922 Ho
0.584 0.968 0.169 Ho
0.315 0.172 0.578 Ho
0.092 0.170 0.219 Ho
0.916 0.468 0.669 Ho
0.408 0.670 0.719 Ho
0.300 0.347 0.994 Sn
0.200 0.847 0.494 Sn
0.800 0.153 0.506 Sn
0.700 0.653 0.006 Sn
0.727 0.601 0.502 Se
0.773 0.101 0.002 Se
0.227 0.899 0.998 Se
0.273 0.399 0.498 Se
```

Output
The value obtained for the volume is 568.7 Å³ per cell. The value obtained for the uncorrected formation energy is -4.3 eV/f.u. For the density of states at the Fermi level, the calculation gives 0.99 states/eV/atom.

# 16
VASP calculation (PBE-GGA) on crystalline POsCS at its relaxed geometry.

```
POsCS
1.0
5.730 0.000 -0.006
0.000 2.939 0.000
-3.942 0.000 6.827
P S Os C
2 2 2 2
direct
0.513 0.000 0.591 P
0.513 0.500 0.091 P
0.030 0.000 0.118 S
0.030 0.500 0.618 S
0.707 0.000 0.396 Os
0.707 0.500 0.896 Os
0.341 0.000 0.110 C
0.341 0.500 0.610 C
```

Output
The value obtained for the volume is 114.9 Å³ per cell. The value obtained for the uncorrected formation energy is 1.4 eV/f.u. The excess energy over the best structure of this formula in the dataset comes out at 30 meV/atom. For the density of states at the Fermi level, the calculation gives 0.34 states/eV/atom.

# 17
VASP calculation (PBE-GGA) on crystalline GaFeC2 at its relaxed geometry.

```
GaFeC2
1.0
0.000 2.582 2.582
2.582 0.000 2.582
2.582 2.582 0.000
C Fe Ga
2 1 1
direct
0.250 0.250 0.250 C
0.750 0.750 0.750 C
0.000 0.000 0.000 Fe
0.500 0.500 0.500 Ga
```

Output
The value obtained for the volume is 34.4 Å³ per cell. The excess energy over the best structure of this formula in the dataset comes out at 849 meV/atom. For the density of states at the Fermi level, the calculation gives 0.51 states/eV/atom. Its calculated formation energy is 1604.4 meV/atom.

# 18
VASP calculation (PBE-GGA) on crystalline SrAcPm2 at its relaxed geometry.

```
SrAcPm2
1.0
5.464 0.000 0.000
0.000 5.431 0.000
0.000 0.000 5.431
Sr Ac Pm
1 1 2
direct
0.500 0.000 0.000 Sr
0.500 0.500 0.500 Ac
0.000 0.000 0.500 Pm
0.000 0.500 0.000 Pm
```

Output
The value obtained for the volume is 161.2 Å³ per cell. The excess energy over the best structure of this formula in the dataset comes out at 36 meV/atom. For the density of states at the Fermi level, the calculation gives 1.87 states/eV/atom. Its calculated formation energy is 143.6 meV/atom.

# 19
VASP calculation (PBE-GGA) on crystalline HfCrCo2C at its relaxed geometry.

```
HfCrCo2C
1.0
-4.192 -0.939 1.284
0.647 -4.439 -1.136
1.462 -0.849 4.152
Co C Hf Cr
2 1 1 1
direct
0.000 0.000 0.500 Co
0.500 0.000 0.000 Co
0.500 0.500 0.500 C
0.000 0.000 0.000 Hf
0.000 0.500 0.000 Cr
```

Output
The value obtained for the volume is 93.0 Å³ per cell. The excess energy over the best structure of this formula in the dataset comes out at 3145 meV/atom. For the density of states at the Fermi level, the calculation gives 1.38 states/eV/atom. Its calculated formation energy is 2947.3 meV/atom.

# 20
VASP calculation (PBE-GGA) on crystalline K2CuRhF6 at its relaxed geometry.

```
K2CuRhF6
1.0
5.886 0.000 0.000
0.000 5.892 0.000
0.000 0.000 8.349
K Cu Rh F
4 2 2 12
direct
0.500 0.750 0.250 K
0.000 0.250 0.750 K
0.500 0.750 0.750 K
0.000 0.250 0.250 K
0.000 0.750 0.500 Cu
0.500 0.250 0.000 Cu
0.500 0.250 0.500 Rh
0.000 0.750 0.000 Rh
0.500 0.250 0.252 F
0.500 0.250 0.748 F
0.000 0.750 0.248 F
0.000 0.750 0.752 F
0.252 0.001 0.500 F
0.748 0.001 0.500 F
0.252 0.498 0.500 F
0.748 0.498 0.500 F
0.752 0.502 0.000 F
0.248 0.502 0.000 F
0.248 0.999 0.000 F
0.752 0.999 0.000 F
```

Output
The value obtained for the volume is 289.6 Å³ per cell. The value obtained for the uncorrected formation energy is -20.3 eV/f.u.